# NiGe6Rh5

A geometry-optimized NiGe6Rh5 structure (GGA-PBE, Alexandria via LeMat-Bulk).

Output
Calculated formation energy in meV/atom: -271
V in Å³/cell: 346.68

Geometry as CIF:
```
data_NiGe6Rh5
_symmetry_space_group_name_H-M 'C m m m'
_symmetry_Int_Tables_number 65
_symmetry_space_group_name_Hall '-C 2 2'
_cell_length_a 4.347
_cell_length_b 13.313
_cell_length_c 5.990
_cell_angle_alpha 90.00
_cell_angle_beta 90.00
_cell_angle_gamma 90.00
loop_
_atom_site_label
_atom_site_type_symbol
_atom_site_fract_x
_atom_site_fract_y
_atom_site_fract_z
Ni1 Ni 0.000 0.000 0.000
Ge1 Ge 0.000 0.161 0.248
Ge2 Ge 0.000 0.500 0.240
Rh1 Rh 0.000 0.000 0.500
Rh2 Rh 0.000 0.327 0.000
Rh3 Rh 0.000 0.328 0.500
```

=====

# Ni5Ge4Rh

A geometry-optimized Ni5Ge4Rh structure (GGA-PBE, Alexandria via LeMat-Bulk).

Output
Calculated formation energy in meV/atom: -196
V in Å³/cell: 274.66

Geometry as CIF:
```
data_Ni5Ge4Rh
_symmetry_space_group_name_H-M 'P m m n'
_symmetry_Int_Tables_number 59
_cell_length_a 7.469
_cell_length_b 7.863
_cell_length_c 4.676
_cell_angle_alpha 90.00
_cell_angle_beta 90.00
_cell_angle_gamma 90.00
loop_
_symmetry_equiv_pos_as_xyz
'x,y,z'
'-x,-y,-z'
'-x+1/2,-y+1/2,z'
'x+1/2,y+1/2,-z'
'x+1/2,-y,-z'
'-x+1/2,y,z'
'-x,y+1/2,-z'
'x,-y+1/2,z'
loop_
_atom_site_label
_atom_site_type_symbol
_atom_site_fract_x
_atom_site_fract_y
_atom_site_fract_z
Ni1 Ni 0.052 0.019 0.249
Ni2 Ni 0.250 0.250 0.456
Ge1 Ge 0.073 0.750 0.492
Ge2 Ge 0.250 0.067 0.861
Rh1 Rh 0.250 0.750 0.007
```